(1)
Density functional theory data (PBE-GGA) for a relaxed Cu2TcB crystal.

a b c (Å): 3.206 3.206 9.495
angles (deg): 80.28 80.28 90.00
Element x y z (fractional)
B: 0.500 0.500 0.000
B: 0.250 0.750 0.500
Cu: 0.130 0.625 0.250
Cu: 0.875 0.870 0.750
Tc: 0.000 0.000 0.000
Tc: 0.750 0.250 0.500
Cu: 0.620 0.125 0.250
Cu: 0.375 0.380 0.750

Summary:
The value obtained for the formation energy is 0.45 eV per atom. For the energy, the calculation gives -5.86 eV/atom.



(2)
Density functional theory data (PBE-GGA) for a relaxed LaNi2Ru crystal.

a b c (Å): 4.054 3.526 4.878
angles (deg): 77.03 90.00 90.00
Element x y z (fractional)
Ni: 0.500 0.139 0.297
La: 0.500 0.713 0.801
Ni: 0.000 0.140 0.008
Ru: 0.000 0.508 0.395

Summary:
The value obtained for the formation energy is 0.09 eV per atom. For the energy, the calculation gives -6.36 eV/atom.



(3)
Density functional theory data (PBE-GGA) for a relaxed EuTaIr2 crystal.

a b c (Å): 3.164 3.164 7.648
angles (deg): 90.00 90.00 90.00
Each line ends with the local moment (μB).
Element x y z (fractional)
Ir: 0.000 0.000 0.199  -0.06
Ta: 0.500 0.500 0.000  0.01
Ir: 0.000 0.000 0.801  -0.06
Eu: 0.500 0.500 0.500  6.79

Summary:
The value obtained for the formation energy is -0.45 eV per atom. For the energy, the calculation gives -10.41 eV/atom.



> Number 2 is which compound?

LaNi2Ru



> Which value of energy does entry 3 give?

-10.41 eV/atom



> Which value of energy does entry 2 give?

-6.36 eV/atom



> Which value of energy does entry 3 give?

-10.41 eV/atom